DFT (meta-GGA SCAN) results for ScMo2 at its PBEsol-relaxed geometry.

Properties
The energy of formation from the pure elements comes out at 0.320 eV per atom. Its calculated total energy is -27.683 eV/atom.

Cell: 3.0552 3.0552 6.4189 Å, 90.00 90.00 120.00°
Closest atoms and distances in Å follow each position.
Space group P-3m1 (No. 164)
Asymmetric unit:
Sc  0.0000  0.0000  0.0000  6 Mo 2.91, 6 Sc 3.06
Mo  0.3333  0.6667  0.6404  3 Mo 2.52

***

DFT (meta-GGA SCAN) results for ScMo2 at its PBEsol-relaxed geometry.

Properties
The energy of formation from the pure elements comes out at 0.156 eV per atom. Its calculated total energy is -27.847 eV/atom.

Cell: 10.1254 3.1764 6.5367 Å, 90.00 108.91 90.00°
Closest atoms and distances in Å follow each position.
Space group C2/m (No. 12)
Asymmetric unit:
Sc  0.1658  0.0000  0.3192  6 Mo 2.72-2.85, 2 Sc 2.90
Mo  0.0000  0.5000  0.0000  4 Mo 2.67, 4 Sc 2.72
Mo  0.0000  0.5000  0.5000  4 Mo 2.77, 4 Sc 2.83
Mo  0.1551  0.0000  0.8411  6 Mo 2.67-2.82, 2 Sc 2.85

***

DFT (meta-GGA SCAN) results for Sc3Mo at its PBEsol-relaxed geometry.

Properties
The energy of formation from the pure elements comes out at 0.087 eV per atom. Its calculated total energy is -19.312 eV/atom. The energy above the most stable polymorph in this dataset comes out at 0 meV/atom.

Cell: 7.4342 8.4327 5.4335 Å, 90.00 90.00 90.00°
Closest atoms and distances in Å follow each position.
Space group Pnma (No. 62)
Asymmetric unit:
Sc  0.0314  0.2500  0.1044  2 Mo 2.71-2.78
Sc  0.1743  0.0652  0.6136  3 Mo 2.74-2.86
Mo  0.1267  0.7500  0.4317  8 Sc 2.71-2.86

***

DFT (meta-GGA SCAN) results for ScMo2 at its PBEsol-relaxed geometry.

Properties
The energy of formation from the pure elements comes out at 0.024 eV per atom. Its calculated total energy is -27.978 eV/atom.

Cell: 3.1735 3.1735 10.0833 Å, 90.00 90.00 90.00°
Closest atoms and distances in Å follow each position.
Space group I4/mmm (No. 139)
Asymmetric unit:
Sc  0.0000  0.0000  0.0000  10 Mo 2.91-3.18, 4 Sc 3.17
Mo  0.0000  0.0000  0.3157  4 Mo 2.61, 4 Sc 2.91

***

DFT (meta-GGA SCAN) results for Sc3Mo at its PBEsol-relaxed geometry.

Properties
The energy of formation from the pure elements comes out at 0.136 eV per atom. Its calculated total energy is -19.263 eV/atom. The energy above the most stable polymorph in this dataset comes out at 49 meV/atom.

Cell: 6.1436 6.1436 4.8710 Å, 90.00 90.00 120.00°
Closest atoms and distances in Å follow each position.
Space group P6_3/mmc (No. 194)
Asymmetric unit:
Sc  0.1701  0.3403  0.2500  4 Mo 2.99-3.07, 8 Sc 3.01-3.14
Mo  0.3333  0.6667  0.7500  12 Sc 2.99-3.07

***

DFT (meta-GGA SCAN) results for ScMo2 at its PBEsol-relaxed geometry.

Properties
The energy of formation from the pure elements comes out at 0.066 eV per atom. Its calculated total energy is -27.937 eV/atom.

Cell: 4.5325 4.5325 2.7876 Å, 90.00 90.00 120.00°
Closest atoms and distances in Å follow each position.
Space group P-3m1 (No. 164)
Asymmetric unit:
Sc  0.0000  0.0000  0.0000  2 Sc 2.79, 6 Mo 2.81
Mo  0.3333  0.6667  0.6300  5 Mo 2.72-2.79, 3 Sc 2.81